DFT (PBE) results for an optimized crystal structure of La2TbZn2Ga2.

Geometry as POSCAR:
```
La2TbZn2Ga2
1.0
2.241 1.294 9.369
-2.241 1.294 9.369
0.000 -2.588 9.369
La Tb Zn Ga
2 1 2 2
Direct
0.131 0.131 0.131 La
0.869 0.869 0.869 La
0.000 0.000 0.000 Tb
0.394 0.394 0.394 Zn
0.606 0.606 0.606 Zn
0.269 0.269 0.269 Ga
0.731 0.731 0.731 Ga
```

## Properties
The calculation puts the magnetic moment at 0.000 μB per atom. The uncorrected energy is -26.06 eV per cell. The formation energy comes out at -0.42 eV per atom.